Entry 1:
DFT (PBE) results for crystalline KLiGaTe2 at its relaxed geometry.

- magnetization (Bohr magnetons per cell) = 0.000
- DFT total energy (eV per atom) = -3.04
- formation energy from raw total energies (eV per atom) = -0.57

a = 8.2927 Å, b = 8.2927 Å, c = 6.9818 Å
α = 90.00°, β = 90.00°, γ = 138.58°
With the nearest neighbours (Å) after each atom.
Positions (direct):
K 0.2500 0.7500 0.7742  4 Te 3.57
K 0.7500 0.2500 0.2258  4 Te 3.57
Li 0.2500 0.2500 0.5000  4 Te 2.84, 2 Li 2.93
Li 0.7500 0.7500 0.5000  4 Te 2.84, 2 Li 2.93
Ga 0.0000 0.0000 0.0000  2 Te 2.69, 2 Ga 2.93
Ga 0.5000 0.5000 0.0000  2 Te 2.69, 2 Ga 2.93
Te 0.1207 0.8793 0.2769  1 Ga 2.69, 2 Li 2.84
Te 0.3793 0.6207 0.2769  1 Ga 2.69, 2 Li 2.84
Te 0.6207 0.3793 0.7231  1 Ga 2.69, 2 Li 2.84
Te 0.8793 0.1207 0.7231  1 Ga 2.69, 2 Li 2.84

Entry 2:
DFT (PBE) results for crystalline KLi2GaTe at its relaxed geometry.

- magnetization (Bohr magnetons per cell) = 0.258
- DFT total energy (eV per atom) = -2.44
- formation energy from raw total energies (eV per atom) = -0.22

a = 5.1839 Å, b = 5.1839 Å, c = 6.5860 Å
α = 90.00°, β = 90.00°, γ = 90.00°
With the nearest neighbours (Å) after each atom.
Positions (direct):
K 0.0000 0.0000 0.0000  4 Ga 3.67
Li 0.0000 0.5000 0.5000  2 Te 2.59
Li 0.5000 0.0000 0.5000  2 Te 2.59
Ga 0.5000 0.5000 0.0000  2 Te 3.29, 4 K 3.67
Te 0.5000 0.5000 0.5000  4 Li 2.59

Entry 3:
DFT (PBE) results for crystalline KLi2ZnGa at its relaxed geometry.

- ΔE_f (eV/atom) = -0.02
- magnetization (Bohr magnetons per cell) = 0.000
- DFT total energy (eV per atom) = -1.86

a = 5.2139 Å, b = 5.2139 Å, c = 4.7488 Å
α = 90.00°, β = 90.00°, γ = 90.00°
With the nearest neighbours (Å) after each atom.
Positions (direct):
K 0.0000 0.0000 0.0000  8 Li 3.53, 4 Zn 3.69
Li 0.0000 0.5000 0.5000  2 Ga 2.61
Li 0.5000 0.0000 0.5000  2 Ga 2.61
Zn 0.5000 0.5000 0.0000  2 Ga 2.37
Ga 0.5000 0.5000 0.5000  2 Zn 2.37, 4 Li 2.61